# 1
## GeMoSe2Br (PBE)

Data for crystalline GeMoSe2Br at its relaxed geometry.

Energy relative to the elements, uncorrected in eV per atom: 0.786
Magnetization in μB per formula unit: 3.80
Relative energy among the computed polymorphs in meV/atom: 457
Total energy in eV/atom: -4.03
Fermi-level density of states in states/eV/f.u.: 3.2

a b c (Å): 5.076 5.076 5.043
angles (deg): 90.00 90.00 90.00
Atoms (fractional coordinates):
Ge 0.000 0.000 0.000
Mo 0.500 0.500 0.500
Se 0.000 0.500 0.000
Se 0.500 0.000 0.000
Br 0.000 0.000 0.500

---

# 2
## ZrTi2Te4 (PBE)

Data for crystalline ZrTi2Te4 at its relaxed geometry.

Energy relative to the elements, uncorrected in eV per atom: -0.721
Magnetization in μB per formula unit: 1.63
Relative energy among the computed polymorphs in meV/atom: 47
Total energy in eV/atom: -5.99
Fermi-level density of states in states/eV/f.u.: 5.8

a b c (Å): 7.668 7.668 7.939
angles (deg): 104.83 104.83 116.73
Atoms (fractional coordinates):
Zr 0.125 0.875 0.500
Zr 0.875 0.125 0.000
Ti 0.110 0.867 0.961
Ti 0.300 0.562 0.436
Ti 0.562 0.300 0.936
Ti 0.867 0.110 0.461
Te 0.315 0.327 0.642
Te 0.327 0.315 0.142
Te 0.399 0.860 0.813
Te 0.399 0.887 0.299
Te 0.785 0.808 0.632
Te 0.808 0.785 0.132
Te 0.860 0.399 0.313
Te 0.887 0.399 0.799

---

# 3
## CsK2InHg (PBE)

Data for crystalline CsK2InHg at its relaxed geometry.

Formation energy in eV per atom: -0.05
Magnetization in μB per formula unit: 0.00
Relative energy among the computed polymorphs in meV/atom: 0
Total energy in eV/atom: -1.27
Fermi-level density of states in states/eV/f.u.: 2.5

a b c (Å): 6.781 6.781 5.715
angles (deg): 90.00 90.00 90.00
Atoms (fractional coordinates):
Cs 0.000 0.000 0.000
K 0.000 0.500 0.500
K 0.500 0.000 0.500
In 0.500 0.500 0.000
Hg 0.500 0.500 0.500

---

# 4
## ZrNiW2 (PBE)

Data for crystalline ZrNiW2 at its relaxed geometry.

Formation energy in eV per atom: 0.20
Magnetization in μB per formula unit: 0.00
Relative energy among the computed polymorphs in meV/atom: 164
Total energy in eV/atom: -9.86
Fermi-level density of states in states/eV/f.u.: 3.9

a b c (Å): 5.127 5.127 5.127
angles (deg): 141.70 126.83 67.40
Atoms (fractional coordinates):
Zr 0.000 0.000 0.000
Ni 0.256 0.756 0.500
W 0.496 0.496 0.000
W 0.732 0.232 0.500